Rb2Na2UO6 | PBE | relaxed

Summary:
The formation energy without anion corrections comes out at -44.5 kcal/mol of atoms. The density of states at the Fermi level comes out at 6.21 states/eV/f.u.

Cell: 5.9327 5.9327 6.3550 Å, 90.00 90.00 120.00°
Last column: nearest neighbours and their distance in Å.
Space group P-31m (No. 162)
One atom of each set of equivalent atoms:
1 Rb 0.3333 0.6667 0.0000 [2 per cell]  6 O 2.95, 2 Na 3.18
2 Na 0.3333 0.6667 0.5000 [2 per cell]  6 O 2.41
3 U 0.0000 0.0000 0.5000 [1 per cell]  6 O 2.04
4 O 0.0000 0.2858 0.3217 [6 per cell]  1 U 2.04